[1]
Here is an optimized crystal structure of Sm2DyHo5 from Alexandria. Energies are from PBE.

Cell: 7.0999 9.9816 7.7416 Å, 90.00 103.33 90.00°
Closest atoms and distances in Å follow each position.
Space group P2_1/m (No. 11)
Symmetry-distinct sites (fractional):
1 Sm 0.0873 0.0936 0.3605 (multiplicity 4)  2 Sm 3.12-3.31, 3 Ho 3.29-3.43, 1 Dy 3.49
2 Dy 0.0718 0.7500 0.2729 (multiplicity 2)  4 Sm 3.49-3.64, 8 Ho 3.51-3.81
3 Ho 0.2530 0.0181 0.0008 (multiplicity 4)  5 Ho 3.35-3.61, 2 Sm 3.35-3.43, 1 Dy 3.59
4 Ho 0.4067 0.5914 0.6342 (multiplicity 4)  5 Ho 3.17-3.47, 2 Sm 3.29-3.52
5 Ho 0.4331 0.2500 0.7234 (multiplicity 2)  8 Ho 3.47-3.81, 2 Dy 3.51-3.59, 2 Sm 3.63

Properties
formation energy = 24.1 kJ/mol of atoms
Fermi-level density of states = 10.5 states/eV/f.u.
excess energy over the best structure of this formula in the dataset = 0.2324 eV per atom


[2]
Here is an optimized crystal structure of Ac6Ni2AsBr3 from Alexandria. Energies are from PBE.

Cell: 20.1921 4.3113 9.6178 Å, 90.00 106.32 90.00°
Closest atoms and distances in Å follow each position.
Space group C2/m (No. 12)
Symmetry-distinct sites (fractional):
1 Ac 0.0151 0.0000 0.2376 (multiplicity 4)  1 Ni 2.98, 2 As 3.09
2 Ac 0.1636 0.5000 0.1211 (multiplicity 4)  2 Ni 2.95, 1 As 3.18
3 Ac 0.1782 0.5000 0.5466 (multiplicity 4)  3 Ni 2.95-2.98
4 Ni 0.1689 0.0000 0.3332 (multiplicity 4)  6 Ac 2.95-2.98
5 As 0.0000 0.5000 0.0000 (multiplicity 2)  6 Ac 3.09-3.18
6 Br 0.0000 0.5000 0.5000 (multiplicity 2)  6 Ac 3.40-3.50
7 Br 0.1570 0.0000 0.8320 (multiplicity 4)  6 Ac 3.35-3.61

Properties
electronic total energy = -4.827 eV/atom
Fermi-level density of states = 10.1 states/eV/f.u.


[3]
Here is an optimized crystal structure of Nb3SbW from Alexandria. Energies are from PBE.

Cell: 4.8982 4.8982 4.8982 Å, 90.00 90.00 90.00°
Closest atoms and distances in Å follow each position.
Space group Pm-3m (No. 221)
Symmetry-distinct sites (fractional):
1 Nb 0.0000 0.0000 0.5000 (multiplicity 3)  2 W 2.45
2 Sb 0.5000 0.5000 0.5000 (multiplicity 1)  12 Nb 3.46
3 W 0.0000 0.0000 0.0000 (multiplicity 1)  6 Nb 2.45

Properties
Fermi-level density of states = 3.8 states/eV/f.u.
excess energy over the best structure of this formula in the dataset = 0.0000 eV per atom